(1)
Below is a relaxed K4Nd3SnTe8 crystal, with properties calculated at the PBE-GGA level.

Geometry as POSCAR:
```
K4Nd3SnTe8
1.0
-6.743 4.790 -4.054
-6.640 -6.216 3.700
5.744 4.188 5.860
Sn Nd K Te
1 3 4 8
direct
0.000 0.500 0.000
0.500 0.500 0.000
0.000 0.500 0.500
0.500 0.500 0.500
0.000 0.000 0.500
0.000 0.000 0.000
0.500 0.000 0.000
0.500 0.000 0.500
0.261 0.284 0.523
0.766 0.290 0.533
0.234 0.710 0.467
0.743 0.710 0.977
0.257 0.290 0.023
0.739 0.716 0.477
0.766 0.290 0.023
0.234 0.710 0.977
```

Values from the calculation:
For the formation energy from raw total energies, the calculation gives -19.0 eV per formula unit.


(2)
Below is a relaxed KNd2Sn3Te6 crystal, with properties calculated at the PBE-GGA level.

Geometry as POSCAR:
```
KNd2Sn3Te6
1.0
-1.625 2.979 2.939
1.090 -6.259 6.946
9.519 3.523 -1.735
Te Nd Sn K
6 2 3 1
direct
0.333 0.407 0.667
0.007 0.271 0.014
0.320 0.898 0.641
0.667 0.593 0.333
0.993 0.729 0.986
0.680 0.102 0.359
0.831 0.654 0.662
0.169 0.346 0.338
0.500 0.500 0.000
0.158 0.848 0.315
0.842 0.152 0.685
0.500 0.000 0.000
```

Values from the calculation:
For the formation energy from raw total energies, the calculation gives -9.2 eV per formula unit.


(3)
Below is a relaxed KNdSn2Te4 crystal, with properties calculated at the PBE-GGA level.

Geometry as POSCAR:
```
KNdSn2Te4
1.0
4.576 0.000 0.000
0.000 8.043 -0.248
0.000 2.745 7.526
K Te Sn Nd
1 4 2 1
direct
0.500 0.500 0.000
0.500 0.754 0.264
0.500 0.246 0.736
0.000 0.238 0.273
0.000 0.762 0.727
0.000 0.000 0.000
0.500 0.000 0.500
0.000 0.500 0.500
```

Values from the calculation:
For the formation energy from raw total energies, the calculation gives -6.2 eV per formula unit.


(4)
Below is a relaxed K2NdSnTe4 crystal, with properties calculated at the PBE-GGA level.

Geometry as POSCAR:
```
K2NdSnTe4
1.0
4.518 0.000 0.000
0.000 7.999 0.180
0.000 -2.765 8.223
Nd K Te Sn
1 2 4 1
direct
0.500 0.500 0.000
0.000 0.500 0.500
0.500 0.000 0.500
0.500 0.231 0.207
0.000 0.743 0.211
0.500 0.769 0.793
0.000 0.257 0.789
0.000 0.000 0.000
```

Values from the calculation:
For the formation energy from raw total energies, the calculation gives -7.7 eV per formula unit.


(5)
Below is a relaxed KSr2Nd crystal, with properties calculated at the PBE-GGA level.

Geometry as POSCAR:
```
KSr2Nd
1.0
-2.879 -1.992 -2.031
2.493 -3.159 -0.436
-4.242 -4.835 10.758
Sr K Nd
2 1 1
direct
0.000 0.000 0.214
0.000 0.000 0.786
0.500 0.500 0.500
0.500 0.500 0.000
```

Values from the calculation:
The value obtained for the energy above the most stable polymorph in this dataset is 0 meV per atom.


(6)
Below is a relaxed KSr2Nd crystal, with properties calculated at the PBE-GGA level.

Geometry as POSCAR:
```
KSr2Nd
1.0
3.938 0.000 0.000
1.969 3.411 0.000
1.969 1.137 15.001
Sr Nd K
2 1 1
direct
0.081 0.081 0.756
0.919 0.919 0.244
0.000 0.000 0.000
0.500 0.500 0.500
```

Values from the calculation:
The value obtained for the energy above the most stable polymorph in this dataset is 178 meV per atom.